The following is a GGA-PBEsol calculation of LiIr2Os after structural relaxation, from the Alexandria database.

Values from the calculation:
energy of formation	0.170	eV per atom
SG	Imm2
magnetization	0.00	μB/cell

Structure (CIF):
```
data_LiIr2Os
_chemical_formula_sum 'Li1 Ir2 Os1'
_cell_length_a 2.824
_cell_length_b 4.322
_cell_length_c 4.947
_cell_angle_alpha 115.90
_cell_angle_beta 106.58
_cell_angle_gamma 90.00
_symmetry_space_group_name_H-M 'P 1'
_symmetry_Int_Tables_number 1
loop_
_symmetry_equiv_pos_as_xyz
'x,y,z'
loop_
_atom_site_label
_atom_site_type_symbol
_atom_site_fract_x
_atom_site_fract_y
_atom_site_fract_z
_atom_site_occupancy
Ir1 Ir 0.003 0.003 0.006 1
Ir2 Ir 0.227 0.727 0.453 1
Li1 Li 0.502 0.502 0.003 1
Os1 Os 0.769 0.269 0.537 1
```